Entry from Alexandria: crystalline Ac2TbRuO8 at its relaxed geometry (PBE-GGA).

```
Ac2TbRuO8
1.0
4.547 0.000 0.000
0.000 7.240 0.000
-0.682 0.000 5.524
Ac Tb Ru O
2 1 1 8
Direct
0.000 0.242 0.000
0.000 0.758 0.000
0.500 0.500 0.500
0.500 0.000 0.500
0.078 0.500 0.254
0.122 0.000 0.344
0.427 0.209 0.722
0.427 0.791 0.722
0.573 0.209 0.278
0.573 0.791 0.278
0.878 0.000 0.656
0.922 0.500 0.746
```

DFT total energy (eV/atom): -7.42
Raw formation energy (eV/atom): -2.267

=====

Entry from Alexandria: crystalline NbCo4 at its relaxed geometry (PBE-GGA).

```
NbCo4
1.0
4.401 0.000 0.000
0.000 4.401 0.000
0.000 0.000 4.401
Nb Co
1 4
Direct
0.000 0.000 0.000
0.000 0.000 0.500
0.000 0.500 0.000
0.500 0.000 0.000
0.500 0.500 0.500
```

DFT total energy (eV/atom): -6.05
Energy of formation (eV per atom): 1.6517

=====

Entry from Alexandria: crystalline Ac2Nd7Sm4 at its relaxed geometry (PBE-GGA).

```
Ac2Nd7Sm4
1.0
6.378 0.000 0.000
-3.189 5.523 0.000
0.000 0.000 13.482
Ac Nd Sm
2 7 4
Direct
0.333 0.667 0.000
0.667 0.333 0.000
0.000 0.000 0.000
0.000 0.369 0.226
0.000 0.631 0.774
0.369 0.000 0.226
0.369 0.369 0.774
0.631 0.000 0.774
0.631 0.631 0.226
0.000 0.000 0.393
0.000 0.000 0.607
0.333 0.667 0.500
0.667 0.333 0.500
```

DFT total energy (eV/atom): -4.48
Energy of formation (eV per atom): 0.1699

=====

Entry from Alexandria: crystalline Y2RuPb at its relaxed geometry (PBE-GGA).

```
Y2RuPb
1.0
3.682 0.000 0.000
0.000 4.638 0.000
0.000 0.000 11.862
Y Ru Pb
4 2 2
Direct
0.000 0.000 0.000
0.000 0.500 0.500
0.500 0.000 0.304
0.500 0.500 0.804
0.500 0.000 0.529
0.500 0.500 0.029
0.000 0.000 0.707
0.000 0.500 0.207
```

DFT total energy (eV/atom): -6.82
Energy of formation (eV per atom): -0.3414

=====

Entry from Alexandria: crystalline CuRu at its relaxed geometry (PBE-GGA).

```
CuRu
1.0
7.497 0.000 0.000
0.000 7.497 0.000
0.000 0.000 7.497
Cu Ru
8 8
Direct
0.198 0.198 0.198
0.198 0.802 0.802
0.302 0.302 0.698
0.302 0.698 0.302
0.698 0.302 0.302
0.698 0.698 0.698
0.802 0.198 0.802
0.802 0.802 0.198
0.120 0.120 0.880
0.120 0.880 0.120
0.380 0.380 0.380
0.380 0.620 0.620
0.620 0.380 0.620
0.620 0.620 0.380
0.880 0.120 0.120
0.880 0.880 0.880
```

DFT total energy (eV/atom): -5.01
Energy of formation (eV per atom): 1.6731

=====

Entry from Alexandria: crystalline Ca2PPd6Pb at its relaxed geometry (PBE-GGA).

```
Ca2PPd6Pb
1.0
5.701 0.000 0.000
0.000 8.932 0.000
0.000 0.000 8.270
Ca P Pd Pb
4 2 12 2
Direct
0.250 0.010 0.241
0.250 0.490 0.241
0.750 0.510 0.759
0.750 0.990 0.759
0.250 0.250 0.711
0.750 0.750 0.289
0.000 0.250 0.926
0.000 0.750 0.074
0.007 0.750 0.509
0.250 0.005 0.611
0.250 0.495 0.611
0.493 0.750 0.509
0.500 0.250 0.926
0.500 0.750 0.074
0.507 0.250 0.491
0.750 0.505 0.389
0.750 0.995 0.389
0.993 0.250 0.491
0.250 0.750 0.800
0.750 0.250 0.200
```

DFT total energy (eV/atom): -5.01
Energy of formation (eV per atom): -0.5786

=====

Entry from Alexandria: crystalline CeMgGa2Rh2 at its relaxed geometry (PBE-GGA).

```
CeMgGa2Rh2
1.0
4.360 0.000 0.000
-2.180 3.776 0.000
0.000 0.000 6.745
Ce Mg Ga Rh
1 1 2 2
Direct
0.000 0.000 0.000
0.000 0.000 0.500
0.333 0.667 0.278
0.667 0.333 0.722
0.333 0.667 0.665
0.667 0.333 0.335
```

DFT total energy (eV/atom): -5.39
Energy of formation (eV per atom): -0.6756

=====

Entry from Alexandria: crystalline ScNi3Ge2 at its relaxed geometry (PBE-GGA).

```
ScNi3Ge2
1.0
7.785 -1.877 0.000
7.785 1.877 0.000
-2.811 0.000 8.783
Sc Ni Ge
3 9 6
Direct
0.000 0.000 0.000
0.157 0.157 0.703
0.843 0.843 0.297
0.042 0.042 0.337
0.213 0.213 0.394
0.317 0.317 0.029
0.384 0.384 0.803
0.500 0.500 0.500
0.616 0.616 0.197
0.683 0.683 0.971
0.787 0.787 0.606
0.958 0.958 0.663
0.196 0.196 0.133
0.361 0.361 0.538
0.459 0.459 0.214
0.541 0.541 0.786
0.639 0.639 0.462
0.804 0.804 0.867
```

DFT total energy (eV/atom): -6.05
Energy of formation (eV per atom): -0.5667

=====

Entry from Alexandria: crystalline YHoHg6 at its relaxed geometry (PBE-GGA).

```
YHoHg6
1.0
5.026 0.000 0.000
0.000 6.644 0.000
0.000 0.000 11.488
Y Ho Hg
2 2 12
Direct
0.000 0.000 0.000
0.000 0.500 0.500
0.500 0.000 0.670
0.500 0.500 0.170
0.000 0.000 0.503
0.000 0.248 0.251
0.000 0.252 0.751
0.000 0.500 0.003
0.000 0.748 0.751
0.000 0.752 0.251
0.500 0.000 0.168
0.500 0.247 0.418
0.500 0.253 0.918
0.500 0.500 0.668
0.500 0.747 0.918
0.500 0.753 0.418
```

DFT total energy (eV/atom): -1.95
Energy of formation (eV per atom): -0.3450

=====

Entry from Alexandria: crystalline Tl3Ga3Sn8 at its relaxed geometry (PBE-GGA).

```
Tl3Ga3Sn8
1.0
7.002 -5.776 0.000
7.002 5.776 0.000
-1.717 0.000 4.726
Tl Ga Sn
3 3 8
Direct
0.000 0.000 0.000
0.276 0.276 0.273
0.724 0.724 0.727
0.371 0.629 0.500
0.500 0.500 0.000
0.629 0.371 0.500
0.018 0.731 0.376
0.157 0.558 0.862
0.269 0.982 0.624
0.442 0.843 0.138
0.558 0.157 0.862
0.731 0.018 0.376
0.843 0.442 0.138
0.982 0.269 0.624
```

DFT total energy (eV/atom): -3.42
Energy of formation (eV per atom): 0.0272

=====

Entry from Alexandria: crystalline Sr2Hg2B at its relaxed geometry (PBE-GGA).

```
Sr2Hg2B
1.0
6.437 0.000 0.000
0.000 6.437 0.000
0.000 0.000 7.103
Sr Hg B
4 4 2
Direct
0.000 0.500 0.250
0.000 0.500 0.750
0.500 0.000 0.250
0.500 0.000 0.750
0.000 0.000 0.194
0.000 0.000 0.806
0.500 0.500 0.306
0.500 0.500 0.694
0.000 0.000 0.500
0.500 0.500 0.000
```

DFT total energy (eV/atom): -1.81
Energy of formation (eV per atom): 0.3199

=====

Entry from Alexandria: crystalline LiY4ErSe8 at its relaxed geometry (PBE-GGA).

```
LiY4ErSe8
1.0
4.184 2.416 6.806
-4.184 2.416 6.806
0.000 -4.831 6.806
Li Y Er Se
1 4 1 8
Direct
0.000 0.000 0.000
0.109 0.630 0.630
0.249 0.249 0.249
0.630 0.109 0.630
0.630 0.630 0.109
0.630 0.630 0.630
0.383 0.383 0.383
0.385 0.385 0.848
0.385 0.848 0.385
0.391 0.868 0.868
0.848 0.385 0.385
0.868 0.391 0.868
0.868 0.868 0.391
0.870 0.870 0.870
```

DFT total energy (eV/atom): -6.09
Raw formation energy (eV/atom): -1.790